Entry 1:
# PBE YCoNiPb, relaxed
data_YCoNiPb
_symmetry_space_group_name_H-M 'F -4 3 m'
_symmetry_Int_Tables_number 216
_symmetry_space_group_name_Hall 'F -4 2 3'
_cell_length_a 6.5600
_cell_length_b 6.5600
_cell_length_c 6.5600
_cell_angle_alpha 90.00
_cell_angle_beta 90.00
_cell_angle_gamma 90.00
loop_
_atom_site_label
_atom_site_fract_x
_atom_site_fract_y
_atom_site_fract_z
_atom_site_occupancy
Y1 0.0000 0.0000 0.0000 1
Co1 0.2500 0.2500 0.7500 1
Ni1 0.2500 0.2500 0.2500 1
Pb1 0.0000 0.0000 0.5000 1
# V ... 282.3 Å³/cell
# Total DFT energy (no corrections) ... -5.8075 eV per atom


Entry 2:
# PBE CsHgBr3, relaxed
data_CsHgBr3
_symmetry_space_group_name_H-M 'C 1 2/c 1'
_symmetry_Int_Tables_number 15
_cell_length_a 23.9161
_cell_length_b 8.0856
_cell_length_c 14.4833
_cell_angle_alpha 90.00
_cell_angle_beta 125.38
_cell_angle_gamma 90.00
loop_
_symmetry_equiv_pos_as_xyz
'x,y,z'
'-x,-y,-z'
'-x,y,-z+1/2'
'x,-y,z+1/2'
'x+1/2,y+1/2,z'
'-x+1/2,-y+1/2,-z'
'-x+1/2,y+1/2,-z+1/2'
'x+1/2,-y+1/2,z+1/2'
loop_
_atom_site_label
_atom_site_fract_x
_atom_site_fract_y
_atom_site_fract_z
_atom_site_occupancy
Cs1 0.0890 0.2274 0.1812 1
Cs2 0.2500 0.2500 0.0000 1
Hg1 0.0000 0.2502 0.7500 1
Hg2 0.1633 0.2397 0.5767 1
Br1 0.0744 0.0190 0.9348 1
Br2 0.0820 0.4774 0.4574 1
Br3 0.0927 0.3010 0.7177 1
Br4 0.2457 0.0671 0.7549 1
Br5 0.2500 0.2500 0.5000 1
# V ... 2283.5 Å³/cell
# Total DFT energy (no corrections) ... -2.2436 eV per atom


Entry 3:
# PBE KGdCuTe3, relaxed
data_KGdCuTe3
_symmetry_space_group_name_H-M 'P 1 21/m 1'
_symmetry_Int_Tables_number 11
_cell_length_a 9.9334
_cell_length_b 4.2470
_cell_length_c 10.2753
_cell_angle_alpha 90.00
_cell_angle_beta 112.07
_cell_angle_gamma 90.00
loop_
_symmetry_equiv_pos_as_xyz
'x,y,z'
'-x,-y,-z'
'-x,y+1/2,-z'
'x,-y+1/2,z'
loop_
_atom_site_label
_atom_site_fract_x
_atom_site_fract_y
_atom_site_fract_z
_atom_site_occupancy
K1 0.2152 0.2500 0.2418 1
Gd1 0.3188 0.7500 0.8534 1
Cu1 0.0842 0.2500 0.5947 1
Te1 0.0967 0.2500 0.8545 1
Te2 0.2019 0.7500 0.5250 1
Te3 0.4675 0.7500 0.1774 1
# V ... 401.7 Å³/cell
# Total DFT energy (no corrections) ... -4.0677 eV per atom


Entry 4:
# PBE CdCuTeIr, relaxed
data_CdCuTeIr
_symmetry_space_group_name_H-M 'F -4 3 m'
_symmetry_Int_Tables_number 216
_symmetry_space_group_name_Hall 'F -4 2 3'
_cell_length_a 6.5845
_cell_length_b 6.5845
_cell_length_c 6.5845
_cell_angle_alpha 90.00
_cell_angle_beta 90.00
_cell_angle_gamma 90.00
loop_
_atom_site_label
_atom_site_fract_x
_atom_site_fract_y
_atom_site_fract_z
_atom_site_occupancy
Cd1 0.0000 0.0000 0.0000 1
Cu1 0.2500 0.2500 0.2500 1
Te1 0.0000 0.0000 0.5000 1
Ir1 0.2500 0.2500 0.7500 1
# V ... 285.5 Å³/cell
# Total DFT energy (no corrections) ... -3.8385 eV per atom


Entry 5:
# PBE In2CuSe3S, relaxed
data_In2CuSe3S
_symmetry_space_group_name_H-M 'P 1'
_symmetry_Int_Tables_number 1
_cell_length_a 5.6740
_cell_length_b 5.6912
_cell_length_c 6.9572
_cell_angle_alpha 66.51
_cell_angle_beta 66.26
_cell_angle_gamma 89.42
loop_
_symmetry_equiv_pos_as_xyz
'x,y,z'
loop_
_atom_site_label
_atom_site_fract_x
_atom_site_fract_y
_atom_site_fract_z
_atom_site_occupancy
In1 0.0000 0.0000 0.0000 1
In2 0.2481 0.7560 0.5081 1
Cu1 0.4909 0.5132 0.9965 1
Se1 0.1086 0.1694 0.2616 1
Se2 0.6297 0.5822 0.2603 1
Se3 0.8366 0.3774 0.7399 1
S1 0.3964 0.8729 0.7581 1
# V ... 185.5 Å³/cell
# Total DFT energy (no corrections) ... -3.7850 eV per atom


Entry 6:
# PBE ZnCu5B2, relaxed
data_ZnCu5B2
_symmetry_space_group_name_H-M 'P 4/m m m'
_symmetry_Int_Tables_number 123
_symmetry_space_group_name_Hall '-P 4 2'
_cell_length_a 3.9303
_cell_length_b 3.9303
_cell_length_c 5.5498
_cell_angle_alpha 90.00
_cell_angle_beta 90.00
_cell_angle_gamma 90.00
loop_
_atom_site_label
_atom_site_fract_x
_atom_site_fract_y
_atom_site_fract_z
_atom_site_occupancy
Zn1 0.0000 0.0000 0.0000 1
Cu1 0.0000 0.5000 0.2536 1
Cu2 0.5000 0.5000 0.5000 1
B1 0.0000 0.0000 0.5000 1
B2 0.5000 0.5000 0.0000 1
# V ... 85.7 Å³/cell
# Total DFT energy (no corrections) ... -3.6998 eV per atom


Entry 7:
# PBE PAuO4, relaxed
data_PAuO4
_symmetry_space_group_name_H-M 'I -4'
_symmetry_Int_Tables_number 82
_cell_length_a 5.9325
_cell_length_b 5.9325
_cell_length_c 4.2206
_cell_angle_alpha 90.00
_cell_angle_beta 90.00
_cell_angle_gamma 90.00
loop_
_symmetry_equiv_pos_as_xyz
'x,y,z'
'y,-x,-z'
'-x,-y,z'
'-y,x,-z'
'x+1/2,y+1/2,z+1/2'
'y+1/2,-x+1/2,-z+1/2'
'-x+1/2,-y+1/2,z+1/2'
'-y+1/2,x+1/2,-z+1/2'
loop_
_atom_site_label
_atom_site_fract_x
_atom_site_fract_y
_atom_site_fract_z
_atom_site_occupancy
P1 0.0000 0.0000 0.0000 1
Au1 0.0000 0.5000 0.7500 1
O1 0.1124 0.1807 0.7849 1
# V ... 148.5 Å³/cell
# Total DFT energy (no corrections) ... -5.9529 eV per atom


Entry 8:
# PBE CoGeAuSe3, relaxed
data_CoGeAuSe3
_symmetry_space_group_name_H-M 'C m c m'
_symmetry_Int_Tables_number 63
_symmetry_space_group_name_Hall '-C 2c 2'
_cell_length_a 3.6153
_cell_length_b 14.4295
_cell_length_c 9.5448
_cell_angle_alpha 90.00
_cell_angle_beta 90.00
_cell_angle_gamma 90.00
loop_
_atom_site_label
_atom_site_fract_x
_atom_site_fract_y
_atom_site_fract_z
_atom_site_occupancy
Co1 0.0000 0.0000 0.0000 1
Ge1 0.0000 0.3349 0.2500 1
Au1 0.0000 0.3009 0.7500 1
Se1 0.0000 0.0376 0.7500 1
Se2 0.0000 0.3918 0.5188 1
# V ... 497.9 Å³/cell
# Total DFT energy (no corrections) ... -4.3960 eV per atom


Entry 9:
# PBE Er, relaxed
data_Er
_symmetry_space_group_name_H-M 'R -3 m'
_symmetry_Int_Tables_number 166
_symmetry_space_group_name_Hall '-R 3 2"'
_cell_length_a 3.5066
_cell_length_b 3.5066
_cell_length_c 8.3507
_cell_angle_alpha 90.00
_cell_angle_beta 90.00
_cell_angle_gamma 120.00
loop_
_atom_site_label
_atom_site_fract_x
_atom_site_fract_y
_atom_site_fract_z
_atom_site_occupancy
Er1 0.0000 0.0000 0.0000 1
# V ... 88.9 Å³/cell
# Formation energy from the elements ... 2.92 kJ/mol of atoms


Entry 10:
# PBE KInIr, relaxed
data_KInIr
_symmetry_space_group_name_H-M 'F -4 3 m'
_symmetry_Int_Tables_number 216
_symmetry_space_group_name_Hall 'F -4 2 3'
_cell_length_a 6.8096
_cell_length_b 6.8096
_cell_length_c 6.8096
_cell_angle_alpha 90.00
_cell_angle_beta 90.00
_cell_angle_gamma 90.00
loop_
_atom_site_label
_atom_site_fract_x
_atom_site_fract_y
_atom_site_fract_z
_atom_site_occupancy
K1 0.0000 0.0000 0.0000 1
In1 0.0000 0.0000 0.5000 1
Ir1 0.2500 0.2500 0.7500 1
# V ... 315.8 Å³/cell
# Total DFT energy (no corrections) ... -3.6491 eV per atom


Entry 11:
# PBE SiHgBi, relaxed
data_SiHgBi
_symmetry_space_group_name_H-M 'F -4 3 m'
_symmetry_Int_Tables_number 216
_symmetry_space_group_name_Hall 'F -4 2 3'
_cell_length_a 6.8960
_cell_length_b 6.8960
_cell_length_c 6.8960
_cell_angle_alpha 90.00
_cell_angle_beta 90.00
_cell_angle_gamma 90.00
loop_
_atom_site_label
_atom_site_fract_x
_atom_site_fract_y
_atom_site_fract_z
_atom_site_occupancy
Si1 0.0000 0.0000 0.0000 1
Hg1 0.2500 0.2500 0.2500 1
Bi1 0.2500 0.2500 0.7500 1
# V ... 327.9 Å³/cell
# Total DFT energy (no corrections) ... -2.8793 eV per atom


Entry 12:
# PBE Zr3Ag, relaxed
data_Zr3Ag
_symmetry_space_group_name_H-M 'P 4/m m m'
_symmetry_Int_Tables_number 123
_symmetry_space_group_name_Hall '-P 4 2'
_cell_length_a 4.4700
_cell_length_b 4.4700
_cell_length_c 4.2521
_cell_angle_alpha 90.00
_cell_angle_beta 90.00
_cell_angle_gamma 90.00
loop_
_atom_site_label
_atom_site_fract_x
_atom_site_fract_y
_atom_site_fract_z
_atom_site_occupancy
Zr1 0.0000 0.0000 0.0000 1
Zr2 0.0000 0.5000 0.5000 1
Ag1 0.5000 0.5000 0.0000 1
# V ... 85.0 Å³/cell
# Formation energy from the elements ... 2.85 kJ/mol of atoms